# CuP2Os GGA-PBEsol relaxed
data_CuP2Os
_chemical_formula_sum 'Cu2 P4 Os2'
_cell_length_a 7.521
_cell_length_b 2.998
_cell_length_c 5.142
_cell_angle_alpha 90.00
_cell_angle_beta 90.95
_cell_angle_gamma 90.00
_symmetry_space_group_name_H-M 'C 1 m 1'
_symmetry_Int_Tables_number 8
loop_
_symmetry_equiv_pos_as_xyz
'x,y,z'
'x,-y,z'
'x+1/2,y+1/2,z'
'x+1/2,-y+1/2,z'
loop_
_atom_site_label
_atom_site_type_symbol
_atom_site_fract_x
_atom_site_fract_y
_atom_site_fract_z
Cu1 Cu 0.000 0.000 0.000
P1 P 0.218 0.500 0.825
P2 P 0.416 0.000 0.336
Os1 Os 0.136 0.000 0.497
# Magnetization   0.0 μB per formula unit
# Offset from the most stable computed form   0.0 meV per atom
# Energy relative to the elements   -0.32 eV/f.u.

# CuPOs3 GGA-PBEsol relaxed
data_CuPOs3
_chemical_formula_sum 'Cu1 P1 Os3'
_cell_length_a 4.383
_cell_length_b 4.383
_cell_length_c 4.383
_cell_angle_alpha 90.00
_cell_angle_beta 90.00
_cell_angle_gamma 90.00
_symmetry_space_group_name_H-M 'P m -3 m'
_symmetry_Int_Tables_number 221
_symmetry_space_group_name_Hall '-P 4 2 3'
loop_
_atom_site_label
_atom_site_type_symbol
_atom_site_fract_x
_atom_site_fract_y
_atom_site_fract_z
Cu1 Cu 0.000 0.000 0.000
P1 P 0.500 0.500 0.500
Os1 Os 0.000 0.000 0.500
# Magnetization   0.0 μB per formula unit
# Energy relative to the elements   12.14 eV/f.u.